1.
KAc2Mg2Sn2 after structural relaxation. Source: the Alexandria database, functional PBE-GGA.

```
data_KAc2Mg2Sn2
_chemical_formula_sum 'K3 Ac6 Mg6 Sn6'
_space_group_name_H-M_alt 'R -3 m'
_space_group_IT_number 166
_space_group_name_Hall '-R 3 2"'
_cell_length_a 5.1460
_cell_length_b 5.1460
_cell_length_c 32.6872
_cell_angle_alpha 90.00
_cell_angle_beta 90.00
_cell_angle_gamma 120.00
loop_
_atom_site_label
_atom_site_fract_x
_atom_site_fract_y
_atom_site_fract_z
K1 0.0000 0.0000 0.0000
Ac1 0.0000 0.0000 0.1316
Mg1 0.0000 0.0000 0.4121
Sn1 0.0000 0.0000 0.2528
```

Fermi-level density of states = 15.991 states/eV per cell
E_tot = -3.152 eV per atom
Magnetization = 0.0 μB per formula unit
ΔH_f (0 K) = -0.22 eV per atom


2.
KAc2MgTe4 after structural relaxation. Source: the Alexandria database, functional PBE-GGA.

```
data_KAc2MgTe4
_chemical_formula_sum 'K4 Ac8 Mg4 Te16'
_space_group_name_H-M_alt 'C m c m'
_space_group_IT_number 63
_space_group_name_Hall '-C 2c 2'
_cell_length_a 4.662
_cell_length_b 16.195
_cell_length_c 16.633
_cell_angle_alpha 90.00
_cell_angle_beta 90.00
_cell_angle_gamma 90.00
loop_
_atom_site_label
_atom_site_fract_x
_atom_site_fract_y
_atom_site_fract_z
K1 0.000 0.113 0.250
Ac1 0.000 0.369 0.055
Mg1 0.000 0.162 0.750
Te1 0.000 0.000 0.000
Te2 0.000 0.270 0.620
Te3 0.000 0.437 0.250
```

Fermi-level density of states = 11.895 states/eV per cell
E_tot = -4.224 eV per atom
Magnetization = 0.0 μB per formula unit